Material: ScCrCl2
Method: DFT, SCAN
State: single point on PBEsol structure

Unit cell a=3.0316 b=3.0316 c=7.6913 alpha=90.00 beta=90.00 gamma=90.00
Last column: magnetic moment on the atom in μB.
Sites, in units of the cell vectors:
Cr  0.0000  0.0000  0.4757  3.19
Sc  0.5000  0.5000  0.7333  -0.36
Cl  0.5000  0.5000  0.3499  0.00
Cl  0.0000  0.0000  0.9411  0.01

As for the space-group type: No. 99. The total magnetic moment comes out at 0.737 μB/atom. Its formation energy without anion corrections is -0.84 eV/atom.